(1)
Entry from Alexandria via LeMat-Bulk: a relaxed PuTlHgO6 crystal (GGA-PBE).

Values from the calculation:
- DOS(E_F) (states/eV per cell) = 0.811
- M_tot (μB per formula unit) = 1.0
- formation energy (no corrections) (meV/atom) = -1238

Cell and atoms, written as CIF:
```
data_PuTlHgO6
_chemical_formula_sum 'Pu2 Tl2 Hg2 O12'
_cell_length_a 5.6550
_cell_length_b 5.6550
_cell_length_c 9.8641
_cell_angle_alpha 90.00
_cell_angle_beta 90.00
_cell_angle_gamma 120.00
_space_group_name_H-M_alt 'P -3 1 c'
_space_group_IT_number 163
_space_group_name_Hall '-P 3 2c'
loop_
_atom_site_label
_atom_site_type_symbol
_atom_site_fract_x
_atom_site_fract_y
_atom_site_fract_z
Pu1 Pu 0.3333 0.6667 0.2500
Tl1 Tl 0.3333 0.6667 0.7500
Hg1 Hg 0.0000 0.0000 0.0000
O1 O 0.0362 0.3701 0.1336
```

(2)
Entry from Alexandria via LeMat-Bulk: a relaxed Sr6InCu2 crystal (GGA-PBE).

Values from the calculation:
- DOS(E_F) (states/eV per cell) = 33.126
- M_tot (μB per formula unit) = 0.0
- E (Ry/atom) = -0.181

Cell and atoms, written as CIF:
```
data_Sr6InCu2
_chemical_formula_sum 'Sr24 In4 Cu8'
_cell_length_a 10.5276
_cell_length_b 10.8717
_cell_length_c 11.5967
_cell_angle_alpha 90.00
_cell_angle_beta 90.00
_cell_angle_gamma 90.00
_space_group_name_H-M_alt 'I m m m'
_space_group_IT_number 71
_space_group_name_Hall '-I 2 2'
loop_
_atom_site_label
_atom_site_type_symbol
_atom_site_fract_x
_atom_site_fract_y
_atom_site_fract_z
Sr1 Sr 0.0000 0.1942 0.2374
Sr2 Sr 0.1976 0.5000 0.1749
Sr3 Sr 0.2149 0.3164 0.5000
In1 In 0.0000 0.0000 0.0000
In2 In 0.0000 0.0000 0.5000
Cu1 Cu 0.0000 0.3778 0.0000
Cu2 Cu 0.0000 0.5000 0.3916
```